Entry 1:
# KLi2Mg2

Crystalline KLi2Mg2 at its relaxed geometry (PBE, Alexandria via LeMat-Bulk).

Computed properties:
* density of states at the Fermi level: 5.43 states/eV per cell
* formation energy: 0.0830 eV per atom
* calculated total energy: -1.54 eV per atom
* crystal system: tetragonal
* energy above the most stable polymorph in this dataset: 0 meV per atom

```
data_KLi2Mg2
_cell_length_a 9.2302
_cell_length_b 9.2302
_cell_length_c 3.2334
_cell_angle_alpha 90.00
_cell_angle_beta 90.00
_cell_angle_gamma 90.00
_symmetry_space_group_name_H-M 'P 1'
_symmetry_Int_Tables_number 1
_symmetry_space_group_name_Hall 'P 1'
loop_
_atom_site_label
_atom_site_fract_x
_atom_site_fract_y
_atom_site_fract_z
_atom_site_occupancy
K1 0.0000 0.0000 0.0000 1
K2 0.5000 0.5000 0.0000 1
Li1 0.1679 0.3321 0.0000 1
Li2 0.3321 0.8321 0.0000 1
Li3 0.6679 0.1679 0.0000 1
Li4 0.8321 0.6679 0.0000 1
Mg1 0.1221 0.6221 0.5000 1
Mg2 0.3779 0.1221 0.5000 1
Mg3 0.6221 0.8779 0.5000 1
Mg4 0.8779 0.3779 0.5000 1
```

Entry 2:
# KLiMg2

Crystalline KLiMg2 at its relaxed geometry (PBE, Alexandria via LeMat-Bulk).

Computed properties:
* density of states at the Fermi level: 1.74 states/eV per cell
* formation energy: 0.2788 eV per atom
* calculated total energy: -1.27 eV per atom
* crystal system: tetragonal

```
data_KLiMg2
_cell_length_a 5.6484
_cell_length_b 5.6484
_cell_length_c 3.9944
_cell_angle_alpha 90.00
_cell_angle_beta 90.00
_cell_angle_gamma 90.00
_symmetry_space_group_name_H-M 'P 1'
_symmetry_Int_Tables_number 1
_symmetry_space_group_name_Hall 'P 1'
loop_
_atom_site_label
_atom_site_fract_x
_atom_site_fract_y
_atom_site_fract_z
_atom_site_occupancy
K1 0.0000 0.0000 0.0000 1
Li1 0.5000 0.5000 0.0000 1
Mg1 0.0000 0.5000 0.5000 1
Mg2 0.5000 0.0000 0.5000 1
```

Entry 3:
# K2LiMg

Crystalline K2LiMg at its relaxed geometry (PBE, Alexandria via LeMat-Bulk).

Computed properties:
* density of states at the Fermi level: 2.44 states/eV per cell
* formation energy: 0.1687 eV per atom
* calculated total energy: -1.26 eV per atom
* crystal system: orthorhombic

```
data_K2LiMg
_cell_length_a 7.5992
_cell_length_b 7.5992
_cell_length_c 7.5992
_cell_angle_alpha 149.36
_cell_angle_beta 129.35
_cell_angle_gamma 60.36
_symmetry_space_group_name_H-M 'P 1'
_symmetry_Int_Tables_number 1
_symmetry_space_group_name_Hall 'P 1'
loop_
_atom_site_label
_atom_site_fract_x
_atom_site_fract_y
_atom_site_fract_z
_atom_site_occupancy
K1 0.0000 0.0000 0.0000 1
K2 0.7048 0.2048 0.5000 1
Li1 0.2696 0.7696 0.5000 1
Mg1 0.4395 0.4395 0.0000 1
```

Entry 4:
# K2LiMg

Crystalline K2LiMg at its relaxed geometry (PBE, Alexandria via LeMat-Bulk).

Computed properties:
* density of states at the Fermi level: 2.29 states/eV per cell
* formation energy: 0.2218 eV per atom
* calculated total energy: -1.20 eV per atom
* crystal system: tetragonal

```
data_K2LiMg
_cell_length_a 5.6728
_cell_length_b 5.6728
_cell_length_c 5.3619
_cell_angle_alpha 90.00
_cell_angle_beta 90.00
_cell_angle_gamma 90.00
_symmetry_space_group_name_H-M 'P 1'
_symmetry_Int_Tables_number 1
_symmetry_space_group_name_Hall 'P 1'
loop_
_atom_site_label
_atom_site_fract_x
_atom_site_fract_y
_atom_site_fract_z
_atom_site_occupancy
K1 0.0000 0.5000 0.0000 1
K2 0.5000 0.0000 0.0000 1
Li1 0.0000 0.0000 0.5000 1
Mg1 0.5000 0.5000 0.5000 1
```

Entry 5:
# KLiMg3

Crystalline KLiMg3 at its relaxed geometry (PBE, Alexandria via LeMat-Bulk).

Computed properties:
* density of states at the Fermi level: 3.37 states/eV per cell
* formation energy: 0.8983 eV per atom
* calculated total energy: -0.66 eV per atom
* crystal system: cubic
* energy above the most stable polymorph in this dataset: 662 meV per atom

```
data_KLiMg3
_cell_length_a 6.2718
_cell_length_b 6.2718
_cell_length_c 6.2718
_cell_angle_alpha 90.00
_cell_angle_beta 90.00
_cell_angle_gamma 90.00
_symmetry_space_group_name_H-M 'P 1'
_symmetry_Int_Tables_number 1
_symmetry_space_group_name_Hall 'P 1'
loop_
_atom_site_label
_atom_site_fract_x
_atom_site_fract_y
_atom_site_fract_z
_atom_site_occupancy
K1 0.0000 0.0000 0.0000 1
Li1 0.5000 0.5000 0.5000 1
Mg1 0.0000 0.0000 0.5000 1
Mg2 0.0000 0.5000 0.0000 1
Mg3 0.5000 0.0000 0.0000 1
```

Entry 6:
# KLiMg2

Crystalline KLiMg2 at its relaxed geometry (PBE, Alexandria via LeMat-Bulk).

Computed properties:
* density of states at the Fermi level: 2.37 states/eV per cell
* formation energy: 0.1980 eV per atom
* calculated total energy: -1.35 eV per atom
* crystal system: trigonal

```
data_KLiMg2
_cell_length_a 11.8357
_cell_length_b 11.8357
_cell_length_c 11.8357
_cell_angle_alpha 16.49
_cell_angle_beta 16.49
_cell_angle_gamma 16.49
_symmetry_space_group_name_H-M 'P 1'
_symmetry_Int_Tables_number 1
_symmetry_space_group_name_Hall 'P 1'
loop_
_atom_site_label
_atom_site_fract_x
_atom_site_fract_y
_atom_site_fract_z
_atom_site_occupancy
K1 0.0000 0.0000 0.0000 1
Li1 0.5000 0.5000 0.5000 1
Mg1 0.2379 0.2379 0.2379 1
Mg2 0.7621 0.7621 0.7621 1
```

Entry 7:
# KLiMg2

Crystalline KLiMg2 at its relaxed geometry (PBE, Alexandria via LeMat-Bulk).

Computed properties:
* density of states at the Fermi level: 2.16 states/eV per cell
* formation energy: 0.1530 eV per atom
* calculated total energy: -1.40 eV per atom
* crystal system: monoclinic

```
data_KLiMg2
_cell_length_a 5.5368
_cell_length_b 5.5368
_cell_length_c 7.2634
_cell_angle_alpha 95.13
_cell_angle_beta 95.13
_cell_angle_gamma 34.31
_symmetry_space_group_name_H-M 'P 1'
_symmetry_Int_Tables_number 1
_symmetry_space_group_name_Hall 'P 1'
loop_
_atom_site_label
_atom_site_fract_x
_atom_site_fract_y
_atom_site_fract_z
_atom_site_occupancy
K1 0.0000 0.0000 0.0000 1
Li1 0.2340 0.2340 0.6728 1
Mg1 0.5018 0.5018 0.5068 1
Mg2 0.7630 0.7630 0.3328 1
```

Entry 8:
# KLiMg2

Crystalline KLiMg2 at its relaxed geometry (PBE, Alexandria via LeMat-Bulk).

Computed properties:
* density of states at the Fermi level: 2.13 states/eV per cell
* formation energy: 0.2367 eV per atom
* calculated total energy: -1.31 eV per atom
* crystal system: monoclinic

```
data_KLiMg2
_cell_length_a 6.7475
_cell_length_b 6.7475
_cell_length_c 3.3453
_cell_angle_alpha 100.29
_cell_angle_beta 100.29
_cell_angle_gamma 121.26
_symmetry_space_group_name_H-M 'P 1'
_symmetry_Int_Tables_number 1
_symmetry_space_group_name_Hall 'P 1'
loop_
_atom_site_label
_atom_site_fract_x
_atom_site_fract_y
_atom_site_fract_z
_atom_site_occupancy
K1 0.0000 0.0000 0.0000 1
Li1 0.5000 0.5000 0.0000 1
Mg1 0.0000 0.5000 0.5000 1
Mg2 0.5000 0.0000 0.5000 1
```

Entry 9:
# K2LiMg

Crystalline K2LiMg at its relaxed geometry (PBE, Alexandria via LeMat-Bulk).

Computed properties:
* density of states at the Fermi level: 2.30 states/eV per cell
* formation energy: 0.1942 eV per atom
* calculated total energy: -1.23 eV per atom
* crystal system: tetragonal

```
data_K2LiMg
_cell_length_a 6.1946
_cell_length_b 6.1946
_cell_length_c 6.1946
_cell_angle_alpha 121.84
_cell_angle_beta 121.84
_cell_angle_gamma 86.85
_symmetry_space_group_name_H-M 'P 1'
_symmetry_Int_Tables_number 1
_symmetry_space_group_name_Hall 'P 1'
loop_
_atom_site_label
_atom_site_fract_x
_atom_site_fract_y
_atom_site_fract_z
_atom_site_occupancy
K1 0.0000 0.0000 0.0000 1
K2 0.7500 0.2500 0.5000 1
Li1 0.2500 0.7500 0.5000 1
Mg1 0.5000 0.5000 0.0000 1
```

Entry 10:
# KLiMg2

Crystalline KLiMg2 at its relaxed geometry (PBE, Alexandria via LeMat-Bulk).

Computed properties:
* density of states at the Fermi level: 2.10 states/eV per cell
* formation energy: 0.1240 eV per atom
* calculated total energy: -1.43 eV per atom
* crystal system: tetragonal

```
data_KLiMg2
_cell_length_a 3.6284
_cell_length_b 3.6284
_cell_length_c 9.0909
_cell_angle_alpha 90.00
_cell_angle_beta 90.00
_cell_angle_gamma 90.00
_symmetry_space_group_name_H-M 'P 1'
_symmetry_Int_Tables_number 1
_symmetry_space_group_name_Hall 'P 1'
loop_
_atom_site_label
_atom_site_fract_x
_atom_site_fract_y
_atom_site_fract_z
_atom_site_occupancy
K1 0.0000 0.0000 0.0000 1
Li1 0.0000 0.0000 0.5000 1
Mg1 0.5000 0.5000 0.3251 1
Mg2 0.5000 0.5000 0.6749 1
```

Q: Which formula does entry 3 have?
A: K2LiMg

Please write out number 3 again, unchanged.
# K2LiMg

Crystalline K2LiMg at its relaxed geometry (PBE, Alexandria via LeMat-Bulk).

Computed properties:
* density of states at the Fermi level: 2.44 states/eV per cell
* formation energy: 0.1687 eV per atom
* calculated total energy: -1.26 eV per atom
* crystal system: orthorhombic

```
data_K2LiMg
_cell_length_a 7.5992
_cell_length_b 7.5992
_cell_length_c 7.5992
_cell_angle_alpha 149.36
_cell_angle_beta 129.35
_cell_angle_gamma 60.36
_symmetry_space_group_name_H-M 'P 1'
_symmetry_Int_Tables_number 1
_symmetry_space_group_name_Hall 'P 1'
loop_
_atom_site_label
_atom_site_fract_x
_atom_site_fract_y
_atom_site_fract_z
_atom_site_occupancy
K1 0.0000 0.0000 0.0000 1
K2 0.7048 0.2048 0.5000 1
Li1 0.2696 0.7696 0.5000 1
Mg1 0.4395 0.4395 0.0000 1
```

Q: formation energy of number 10 (KLiMg2)?
A: 0.1240 eV per atom